Computed, not measured: crystalline NaNiBP2 at its relaxed geometry at the PBE level of DFT.

The structure belongs to space group P4/mmm (No. 123); the cell edges are 4.245, 4.245 and 5.022 Å and the angles 90.00°, 90.00° and 90.00°. The asymmetric unit holds Na at (0.000, 0.000, 0.000), Ni at (0.000, 0.000, 0.500), B at (0.500, 0.500, 0.000) and P at (0.000, 0.500, 0.500).

The energy of formation is 1012 meV per atom. The energy comes out at -19.5 eV for the cell shown.